First-principles (GGA-PBE) data for crystalline Tc2AgPb at its relaxed geometry, as listed in the Alexandria database.

Results
total energy: -0.215 Ha/atom
magnetization: 0.0 μB/f.u.

```
Tc2AgPb
1.0
3.350 0.000 0.000
0.000 4.661 0.000
0.000 0.000 9.249
Tc Ag Pb
4 2 2
direct
0.000 0.000 0.245
0.000 0.000 0.755
0.500 0.500 0.245
0.500 0.500 0.755
0.000 0.500 0.000
0.500 0.000 0.000
0.000 0.500 0.500
0.500 0.000 0.500
```

First-principles (GGA-PBE) data for crystalline TcAgPb2 at its relaxed geometry, as listed in the Alexandria database.

Results
total energy: -0.166 Ha/atom
ΔE to the lowest computed polymorph: 191 meV/atom
magnetization: 0.0 μB/f.u.

```
TcAgPb2
1.0
6.983 0.000 0.000
0.000 6.983 0.000
0.000 0.000 6.983
Tc Ag Pb
4 4 8
direct
0.000 0.000 0.000
0.000 0.500 0.500
0.500 0.000 0.500
0.500 0.500 0.000
0.000 0.000 0.500
0.000 0.500 0.000
0.500 0.000 0.000
0.500 0.500 0.500
0.250 0.250 0.250
0.250 0.250 0.750
0.250 0.750 0.250
0.250 0.750 0.750
0.750 0.250 0.250
0.750 0.250 0.750
0.750 0.750 0.250
0.750 0.750 0.750
```

First-principles (GGA-PBE) data for crystalline TcAg2Pb at its relaxed geometry, as listed in the Alexandria database.

Results
total energy: -0.161 Ha/atom
magnetization: 0.0 μB/f.u.

```
TcAg2Pb
1.0
2.943 0.000 0.000
0.000 4.196 0.000
-0.015 0.000 6.179
Tc Ag Pb
1 2 1
direct
0.000 0.000 0.000
0.498 0.500 0.749
0.997 0.000 0.532
0.501 0.500 0.231
```

First-principles (GGA-PBE) data for crystalline TcAgPb2 at its relaxed geometry, as listed in the Alexandria database.

Results
total energy: -0.166 Ha/atom
ΔE to the lowest computed polymorph: 174 meV/atom
magnetization: 0.0 μB/f.u.

```
TcAgPb2
1.0
4.558 0.000 0.000
0.000 4.558 0.000
0.000 0.000 8.140
Tc Ag Pb
2 2 4
direct
0.000 0.000 0.000
0.500 0.500 0.500
0.000 0.000 0.500
0.500 0.500 0.000
0.000 0.500 0.250
0.000 0.500 0.750
0.500 0.000 0.250
0.500 0.000 0.750
```

Number 1: calculated volume 18.1 Å³/atom. Number 2: calculated volume 21.3 Å³/atom. Number 3: calculated volume 19.1 Å³/atom. Number 4: calculated volume 21.1 Å³/atom.